This record from Alexandria describes crystalline Tl2Cd5Au4 at its relaxed geometry. The functional is PBE.

Unit cell a=5.912 b=10.943 c=17.320 alpha=90.00 beta=90.00 gamma=90.00
Space group Fmmm (No. 69)
One atom of each set of equivalent atoms:
Tl (0.000, 0.000, 0.156)
Cd (0.000, 0.000, 0.500)
Cd (0.250, 0.250, 0.000)
Cd (0.250, 0.250, 0.250)
Au (0.000, 0.136, 0.367)

Results
Raw total energy   -2.06 eV/atom
DFT formation energy   -0.0245 eV per atom

---

This record from Alexandria describes crystalline Tl14Cd2Au9 at its relaxed geometry. The functional is PBE.

Unit cell a=8.5392 b=8.5392 c=11.8571 alpha=90.00 beta=90.00 gamma=120.00
Space group P-3 (No. 147)
One atom of each set of equivalent atoms:
Tl (0.0000, 0.0000, 0.2473)
Tl (0.0200, 0.6682, 0.4079)
Tl (0.0439, 0.3680, 0.0934)
Cd (0.3333, 0.6667, 0.7597)
Au (0.0000, 0.0000, 0.5000)
Au (0.0310, 0.3439, 0.8403)
Au (0.3333, 0.6667, 0.5163)

Results
Raw total energy   -2.59 eV/atom
DFT formation energy   -0.0151 eV per atom

---

This record from Alexandria describes crystalline Tl3CdAu at its relaxed geometry. The functional is PBE.

Unit cell a=6.859 b=4.908 c=8.228 alpha=90.00 beta=90.04 gamma=90.00
Space group P2_1/m (No. 11)
One atom of each set of equivalent atoms:
Tl (0.221, 0.250, 0.043)
Tl (0.221, 0.250, 0.457)
Tl (0.243, 0.750, 0.750)
Cd (0.457, 0.750, 0.250)
Au (0.051, 0.750, 0.250)

Results
Raw total energy   -2.25 eV/atom
DFT formation energy   0.0130 eV per atom
Polymorph energy (0 for the lowest one)   0 meV/atom